one) Density functional theory data (PBE) for a relaxed structure of Te2MoAuI.

Unit cell a=5.1867 b=5.1867 c=5.7729 alpha=90.00 beta=90.00 gamma=90.00
Closest atoms and distances in Å follow each position.
Fractional coordinates of all 5 atoms:
Te 0.0000 0.5000 0.0000  2 Mo 2.59
Te 0.5000 0.0000 0.0000  2 Mo 2.59
Mo 0.0000 0.0000 0.0000  4 Te 2.59, 2 I 2.89
Au 0.5000 0.5000 0.5000  4 I 3.67, 8 Te 3.88
I 0.0000 0.0000 0.5000  2 Mo 2.89

Volume, Å³/atom: 31.06

=====

two) Density functional theory data (PBE) for a relaxed structure of Te2MoAuI.

Unit cell a=5.5004 b=5.5004 c=5.4788 alpha=90.00 beta=90.00 gamma=90.00
Closest atoms and distances in Å follow each position.
Fractional coordinates of all 5 atoms:
Te 0.0000 0.5000 0.0000  2 Au 2.75
Te 0.5000 0.0000 0.0000  2 Au 2.75
Mo 0.0000 0.0000 0.5000  8 Te 3.88, 4 I 3.89
Au 0.5000 0.5000 0.0000  2 I 2.74, 4 Te 2.75
I 0.5000 0.5000 0.5000  2 Au 2.74

Volume, Å³/atom: 33.15

=====

Which one sits at the bottom of the stability order? two) does.

=====

one) Density functional theory data (PBE) for a relaxed structure of Au3IN.

Unit cell a=5.5028 b=5.5028 c=5.5028 alpha=90.00 beta=90.00 gamma=90.00
Closest atoms and distances in Å follow each position.
Fractional coordinates of all 5 atoms:
Au 0.0000 0.0000 0.5000  2 I 2.75
Au 0.0000 0.5000 0.0000  2 I 2.75
Au 0.5000 0.0000 0.0000  2 I 2.75
I 0.0000 0.0000 0.0000  6 Au 2.75
N 0.5000 0.5000 0.5000  12 Au 3.89

Volume, Å³/atom: 33.33

=====

two) Density functional theory data (PBE) for a relaxed structure of Au3IN.

Unit cell a=4.5941 b=4.5941 c=4.5941 alpha=90.00 beta=90.00 gamma=90.00
Closest atoms and distances in Å follow each position.
Fractional coordinates of all 5 atoms:
Au 0.0000 0.0000 0.5000  2 N 2.30
Au 0.0000 0.5000 0.0000  2 N 2.30
Au 0.5000 0.0000 0.0000  2 N 2.30
I 0.5000 0.5000 0.5000  12 Au 3.25
N 0.0000 0.0000 0.0000  6 Au 2.30

Volume, Å³/atom: 19.39

=====

Which one sits at the bottom of the stability order? one) does.

=====

one) Density functional theory data (PBE) for a relaxed structure of Au2IN.

Unit cell a=6.8465 b=6.8465 c=6.8465 alpha=90.00 beta=90.00 gamma=90.00
Closest atoms and distances in Å follow each position.
Fractional coordinates of all 16 atoms:
Au 0.2500 0.2500 0.2500  4 I 2.96, 4 N 2.96
Au 0.2500 0.2500 0.7500  4 I 2.96, 4 N 2.96
Au 0.2500 0.7500 0.2500  4 I 2.96, 4 N 2.96
Au 0.2500 0.7500 0.7500  4 I 2.96, 4 N 2.96
Au 0.7500 0.2500 0.2500  4 I 2.96, 4 N 2.96
Au 0.7500 0.2500 0.7500  4 I 2.96, 4 N 2.96
Au 0.7500 0.7500 0.2500  4 I 2.96, 4 N 2.96
Au 0.7500 0.7500 0.7500  4 I 2.96, 4 N 2.96
I 0.0000 0.0000 0.0000  8 Au 2.96
I 0.0000 0.5000 0.5000  8 Au 2.96
I 0.5000 0.0000 0.5000  8 Au 2.96
I 0.5000 0.5000 0.0000  8 Au 2.96
N 0.0000 0.0000 0.5000  8 Au 2.96
N 0.0000 0.5000 0.0000  8 Au 2.96
N 0.5000 0.0000 0.0000  8 Au 2.96
N 0.5000 0.5000 0.5000  8 Au 2.96

Volume, Å³/atom: 20.06

=====

two) Density functional theory data (PBE) for a relaxed structure of Au2IN.

Unit cell a=5.5726 b=5.5726 c=12.0302 alpha=90.00 beta=90.00 gamma=90.00
Closest atoms and distances in Å follow each position.
Fractional coordinates of all 16 atoms:
Au 0.0000 0.0000 0.0000  2 N 2.05
Au 0.0000 0.5000 0.0000  2 N 2.05
Au 0.2500 0.2500 0.7500  2 N 2.05
Au 0.2500 0.7500 0.2500  2 N 2.05
Au 0.5000 0.0000 0.5000  2 N 2.05
Au 0.5000 0.5000 0.5000  2 N 2.05
Au 0.7500 0.2500 0.7500  2 N 2.05
Au 0.7500 0.7500 0.2500  2 N 2.05
I 0.0000 0.2500 0.3750  8 Au 3.46
I 0.0000 0.7500 0.6250  8 Au 3.46
I 0.5000 0.2500 0.1250  8 Au 3.46
I 0.5000 0.7500 0.8750  8 Au 3.46
N 0.0000 0.2500 0.8750  4 Au 2.05
N 0.0000 0.7500 0.1250  4 Au 2.05
N 0.5000 0.2500 0.6250  4 Au 2.05
N 0.5000 0.7500 0.3750  4 Au 2.05

Volume, Å³/atom: 23.35

=====

Which one sits at the bottom of the stability order? one) does.

=====

one) Density functional theory data (PBE) for a relaxed structure of NaAuIN2.

Unit cell a=4.4515 b=4.4515 c=6.6623 alpha=90.00 beta=90.00 gamma=90.00
Closest atoms and distances in Å follow each position.
Fractional coordinates of all 5 atoms:
Na 0.0000 0.0000 0.0000  4 N 2.23
Au 0.5000 0.5000 0.5000  4 I 3.15
I 0.0000 0.0000 0.5000  4 Au 3.15, 2 Na 3.33
N 0.0000 0.5000 0.0000  2 Na 2.23
N 0.5000 0.0000 0.0000  2 Na 2.23

Volume, Å³/atom: 26.40

=====

two) Density functional theory data (PBE) for a relaxed structure of NaAuIN2.

Unit cell a=4.1467 b=4.1467 c=7.8230 alpha=90.00 beta=90.00 gamma=90.00
Closest atoms and distances in Å follow each position.
Fractional coordinates of all 5 atoms:
Na 0.0000 0.0000 0.0000  4 I 2.93
Au 0.5000 0.5000 0.5000  4 N 2.07
I 0.5000 0.5000 0.0000  4 Na 2.93
N 0.0000 0.5000 0.5000  2 Au 2.07
N 0.5000 0.0000 0.5000  2 Au 2.07

Volume, Å³/atom: 26.90

=====

Which one sits at the bottom of the stability order? one) does.

=====

one) Density functional theory data (PBE) for a relaxed structure of PAuI2N.

Unit cell a=5.8934 b=5.8934 c=3.7777 alpha=90.00 beta=90.00 gamma=90.00
Closest atoms and distances in Å follow each position.
Fractional coordinates of all 5 atoms:
P 0.0000 0.0000 0.0000  8 I 3.50, 2 P 3.78
Au 0.5000 0.5000 0.5000  2 N 1.89
I 0.0000 0.5000 0.5000  2 Au 2.95
I 0.5000 0.0000 0.5000  2 Au 2.95
N 0.5000 0.5000 0.0000  2 Au 1.89

Volume, Å³/atom: 26.24

=====

two) Density functional theory data (PBE) for a relaxed structure of PAuI2N.

Unit cell a=6.0506 b=6.0506 c=3.2892 alpha=90.00 beta=90.00 gamma=90.00
Closest atoms and distances in Å follow each position.
Fractional coordinates of all 5 atoms:
P 0.0000 0.0000 0.0000  2 N 1.64
Au 0.5000 0.5000 0.5000  2 Au 3.29, 8 I 3.44
I 0.0000 0.5000 0.0000  2 P 3.03, 2 I 3.29
I 0.5000 0.0000 0.0000  2 P 3.03, 2 I 3.29
N 0.0000 0.0000 0.5000  2 P 1.64

Volume, Å³/atom: 24.08

=====

Which one sits at the bottom of the stability order? one) does.

=====

one) Density functional theory data (PBE) for a relaxed structure of PAuIN2.

Unit cell a=3.9704 b=3.9704 c=8.4881 alpha=90.00 beta=90.00 gamma=90.00
Closest atoms and distances in Å follow each position.
Fractional coordinates of all 5 atoms:
P 0.0000 0.0000 0.0000  4 I 2.81
Au 0.5000 0.5000 0.5000  4 N 1.99
I 0.5000 0.5000 0.0000  4 P 2.81
N 0.0000 0.5000 0.5000  2 Au 1.99
N 0.5000 0.0000 0.5000  2 Au 1.99

Volume, Å³/atom: 26.76

=====

two) Density functional theory data (PBE) for a relaxed structure of PAuIN2.

Unit cell a=3.6769 b=3.6769 c=7.6039 alpha=90.00 beta=90.00 gamma=90.00
Closest atoms and distances in Å follow each position.
Fractional coordinates of all 5 atoms:
P 0.0000 0.0000 0.0000  4 N 1.84
Au 0.5000 0.5000 0.5000  4 I 2.60
I 0.0000 0.0000 0.5000  4 Au 2.60
N 0.0000 0.5000 0.0000  2 P 1.84
N 0.5000 0.0000 0.0000  2 P 1.84

Volume, Å³/atom: 20.56

=====

Which one sits at the bottom of the stability order? one) does.

=====

one) Density functional theory data (PBE) for a relaxed structure of PbAuIN2.

Unit cell a=4.3300 b=4.3300 c=7.2169 alpha=90.00 beta=90.00 gamma=90.00
Closest atoms and distances in Å follow each position.
Fractional coordinates of all 5 atoms:
Pb 0.0000 0.0000 0.0000  4 I 3.06
Au 0.5000 0.5000 0.5000  4 N 2.17
I 0.5000 0.5000 0.0000  4 Pb 3.06
N 0.0000 0.5000 0.5000  2 Au 2.17
N 0.5000 0.0000 0.5000  2 Au 2.17

Volume, Å³/atom: 27.06

=====

two) Density functional theory data (PBE) for a relaxed structure of PbAuIN2.

Unit cell a=4.3553 b=4.3553 c=7.1194 alpha=90.00 beta=90.00 gamma=90.00
Closest atoms and distances in Å follow each position.
Fractional coordinates of all 5 atoms:
Pb 0.0000 0.0000 0.0000  4 N 2.18
Au 0.5000 0.5000 0.5000  4 I 3.08
I 0.0000 0.0000 0.5000  4 Au 3.08
N 0.0000 0.5000 0.0000  2 Pb 2.18
N 0.5000 0.0000 0.0000  2 Pb 2.18

Volume, Å³/atom: 27.01

=====

Which one sits at the bottom of the stability order? two) does.

=====

one) Density functional theory data (PBE) for a relaxed structure of PtAuI2N.

Unit cell a=5.8344 b=5.8344 c=3.7394 alpha=90.00 beta=90.00 gamma=90.00
Closest atoms and distances in Å follow each position.
Fractional coordinates of all 5 atoms:
Pt 0.0000 0.0000 0.0000  8 I 3.46, 2 Pt 3.74
Au 0.5000 0.5000 0.5000  2 N 1.87
I 0.0000 0.5000 0.5000  2 Au 2.92
I 0.5000 0.0000 0.5000  2 Au 2.92
N 0.5000 0.5000 0.0000  2 Au 1.87

Volume, Å³/atom: 25.46

=====

two) Density functional theory data (PBE) for a relaxed structure of PtAuI2N.

Unit cell a=5.7463 b=5.7463 c=3.7218 alpha=90.00 beta=90.00 gamma=90.00
Closest atoms and distances in Å follow each position.
Fractional coordinates of all 5 atoms:
Pt 0.0000 0.0000 0.0000  2 N 1.86
Au 0.5000 0.5000 0.5000  8 I 3.42, 2 Au 3.72
I 0.0000 0.5000 0.0000  2 Pt 2.87
I 0.5000 0.0000 0.0000  2 Pt 2.87
N 0.0000 0.0000 0.5000  2 Pt 1.86

Volume, Å³/atom: 24.58

=====

Which one sits at the bottom of the stability order? one) does.